1.
Material: NbZnIn2Se
Method: DFT, PBE
State: relaxed

Formation energy from raw total energies = 0.69 eV/atom
E = -3.372 eV per atom
N(E_F) = 0.731 states/eV per atom

Cell: 4.9833 4.9833 5.1517 Å, 90.00 90.00 90.00°
Atoms (fractional coordinates):
Nb (0.0000, 0.0000, 0.0000)
Zn (0.0000, 0.0000, 0.5000)
In (0.0000, 0.5000, 0.5000)
In (0.5000, 0.0000, 0.5000)
Se (0.5000, 0.5000, 0.0000)

=====

2.
Material: MnCo2Cu
Method: DFT, PBE
State: relaxed

Formation energy from the elements = 0.163 eV per atom
E = -6.707 eV per atom
N(E_F) = 1.372 states/eV per atom

Cell: 2.5036 3.4529 5.0960 Å, 90.00 90.00 90.00°
Atoms (fractional coordinates):
Mn (0.0000, 0.0000, 0.0000)
Co (0.5000, 0.5000, 0.2449)
Co (0.5000, 0.5000, 0.7551)
Cu (0.0000, 0.0000, 0.5000)

=====

3.
Material: Rb2TlHgBr5
Method: DFT, PBE
State: relaxed

Formation energy from raw total energies = -1.08 eV/atom
E = -2.516 eV per atom

Cell: 5.5204 5.5204 12.0336 Å, 90.00 90.00 90.00°
Atoms (fractional coordinates):
Rb (0.0000, 0.0000, 0.2123)
Rb (0.0000, 0.0000, 0.7877)
Tl (0.5000, 0.5000, 0.5000)
Hg (0.5000, 0.5000, 0.0000)
Br (0.0000, 0.0000, 0.5000)
Br (0.0000, 0.5000, 0.0000)
Br (0.5000, 0.0000, 0.0000)
Br (0.5000, 0.5000, 0.2380)
Br (0.5000, 0.5000, 0.7620)

=====

4.
Material: Hf12MnPb6
Method: DFT, PBE
State: relaxed

Formation energy from the elements = 0.249 eV per atom
E = -7.691 eV per atom
N(E_F) = 0.918 states/eV per atom

Cell: 7.9745 7.9745 7.9745 Å, 100.75 100.75 100.75°
Atoms (fractional coordinates):
Hf (0.0151, 0.0566, 0.3089)
Hf (0.0566, 0.3089, 0.0151)
Hf (0.2224, 0.5105, 0.3990)
Hf (0.3089, 0.0151, 0.0566)
Hf (0.3990, 0.2224, 0.5105)
Hf (0.4895, 0.6010, 0.7776)
Hf (0.5105, 0.3990, 0.2224)
Hf (0.6010, 0.7776, 0.4895)
Hf (0.6911, 0.9849, 0.9434)
Hf (0.7776, 0.4895, 0.6010)
Hf (0.9434, 0.6911, 0.9849)
Hf (0.9849, 0.9434, 0.6911)
Mn (0.0000, 0.0000, 0.0000)
Pb (0.1010, 0.3351, 0.6657)
Pb (0.3343, 0.8990, 0.6649)
Pb (0.3351, 0.6657, 0.1010)
Pb (0.6649, 0.3343, 0.8990)
Pb (0.6657, 0.1010, 0.3351)
Pb (0.8990, 0.6649, 0.3343)

=====

5.
Material: Al5Os
Method: DFT, PBE
State: relaxed

Formation energy from the elements = 0.160 eV per atom
E = -4.830 eV per atom
N(E_F) = 0.607 states/eV per atom

Cell: 5.0413 5.0413 5.0413 Å, 60.00 60.00 60.00°
Atoms (fractional coordinates):
Al (0.0000, 0.0000, 0.0000)
Al (0.1268, 0.6244, 0.6244)
Al (0.6244, 0.1268, 0.6244)
Al (0.6244, 0.6244, 0.1268)
Al (0.6244, 0.6244, 0.6244)
Os (0.2500, 0.2500, 0.2500)

=====

6.
Material: ScInHg
Method: DFT, PBE
State: relaxed

Energy relative to the lowest polymorph listed for this composition = 0.030 eV/atom
Formation energy from the elements = -0.290 eV per atom
E = -3.414 eV per atom
N(E_F) = 0.662 states/eV per atom

Cell: 4.8154 4.8154 3.3858 Å, 90.00 90.00 120.00°
Atoms (fractional coordinates):
Sc (0.0000, 0.0000, 0.0000)
In (0.3333, 0.6667, 0.5427)
Hg (0.6667, 0.3333, 0.4146)

=====

7.
Material: AlTlIn2Sb
Method: DFT, PBE
State: relaxed

Formation energy from raw total energies = 0.53 eV/atom
E = -2.615 eV per atom
N(E_F) = 0.732 states/eV per atom

Cell: 5.9658 5.9658 5.2545 Å, 90.00 90.00 90.00°
Atoms (fractional coordinates):
Al (0.0000, 0.0000, 0.0000)
Tl (0.5000, 0.5000, 0.0000)
In (0.0000, 0.5000, 0.5000)
In (0.5000, 0.0000, 0.5000)
Sb (0.0000, 0.0000, 0.5000)

=====

8.
Material: Dy19Ho4Tm6
Method: DFT, PBE
State: relaxed

Formation energy from the elements = 0.394 eV per atom
E = -4.177 eV per atom
N(E_F) = 1.564 states/eV per atom

Cell: 10.7118 10.7118 10.7118 Å, 109.47 109.47 109.47°
Atoms (fractional coordinates):
Dy (0.0000, 0.0000, 0.0000)
Dy (0.0000, 0.2630, 0.2630)
Dy (0.0000, 0.7370, 0.7370)
Dy (0.0134, 0.2139, 0.6733)
Dy (0.2004, 0.9866, 0.6599)
Dy (0.2139, 0.6733, 0.0134)
Dy (0.2630, 0.0000, 0.2630)
Dy (0.2630, 0.2630, 0.0000)
Dy (0.3267, 0.5405, 0.3401)
Dy (0.3401, 0.3267, 0.5405)
Dy (0.4595, 0.7861, 0.7996)
Dy (0.5405, 0.3401, 0.3267)
Dy (0.6599, 0.2004, 0.9866)
Dy (0.6733, 0.0134, 0.2139)
Dy (0.7370, 0.0000, 0.7370)
Dy (0.7370, 0.7370, 0.0000)
Dy (0.7861, 0.7996, 0.4595)
Dy (0.7996, 0.4595, 0.7861)
Dy (0.9866, 0.6599, 0.2004)
Ho (0.0000, 0.0000, 0.3569)
Ho (0.0000, 0.3569, 0.0000)
Ho (0.3569, 0.0000, 0.0000)
Ho (0.6431, 0.6431, 0.6431)
Tm (0.1274, 0.5000, 0.6274)
Tm (0.3726, 0.8726, 0.5000)
Tm (0.5000, 0.3726, 0.8726)
Tm (0.5000, 0.6274, 0.1274)
Tm (0.6274, 0.1274, 0.5000)
Tm (0.8726, 0.5000, 0.3726)

=====

9.
Material: ZrGeOs
Method: DFT, PBE
State: relaxed

Formation energy from the elements = -0.404 eV per atom
E = -8.535 eV per atom
N(E_F) = 0.299 states/eV per atom

Cell: 10.1099 3.1693 7.1509 Å, 90.00 112.13 90.00°
Atoms (fractional coordinates):
Zr (0.1320, 0.0000, 0.2636)
Zr (0.3680, 0.5000, 0.7364)
Zr (0.6320, 0.5000, 0.2636)
Zr (0.8680, 0.0000, 0.7364)
Ge (0.1253, 0.0000, 0.6593)
Ge (0.3747, 0.5000, 0.3407)
Ge (0.6253, 0.5000, 0.6593)
Ge (0.8747, 0.0000, 0.3407)
Os (0.1248, 0.5000, 0.9396)
Os (0.3752, 0.0000, 0.0604)
Os (0.6248, 0.0000, 0.9396)
Os (0.8752, 0.5000, 0.0604)

=====

10.
Material: Pm12YSi4
Method: DFT, PBE
State: relaxed

Formation energy from raw total energies = -0.02 eV/atom
E = -5.027 eV per atom
N(E_F) = 1.672 states/eV per atom

Cell: 9.1328 9.1328 9.1328 Å, 109.47 109.47 109.47°
Atoms (fractional coordinates):
Pm (0.1534, 0.3225, 0.8309)
Pm (0.1691, 0.4916, 0.3225)
Pm (0.1691, 0.8466, 0.6775)
Pm (0.3225, 0.1691, 0.4916)
Pm (0.3225, 0.8309, 0.1534)
Pm (0.4916, 0.3225, 0.1691)
Pm (0.5084, 0.6775, 0.8309)
Pm (0.6775, 0.1691, 0.8466)
Pm (0.6775, 0.8309, 0.5084)
Pm (0.8309, 0.1534, 0.3225)
Pm (0.8309, 0.5084, 0.6775)
Pm (0.8466, 0.6775, 0.1691)
Y (0.0000, 0.0000, 0.0000)
Si (0.0000, 0.0000, 0.5000)
Si (0.0000, 0.5000, 0.0000)
Si (0.5000, 0.0000, 0.0000)
Si (0.5000, 0.5000, 0.5000)

=====

11.
Material: Cd3Hg4Pb2
Method: DFT, PBE
State: relaxed

Energy relative to the lowest polymorph listed for this composition = 0.011 eV/atom
Formation energy from the elements = 0.046 eV per atom
E = -1.217 eV per atom
N(E_F) = 0.338 states/eV per atom

Cell: 8.6587 8.6587 9.6472 Å, 90.00 90.00 138.34°
Atoms (fractional coordinates):
Cd (0.0000, 0.0000, 0.0000)
Cd (0.0266, 0.4734, 0.2500)
Cd (0.4734, 0.0266, 0.7500)
Cd (0.5000, 0.5000, 0.5000)
Cd (0.5266, 0.9734, 0.2500)
Cd (0.9734, 0.5266, 0.7500)
Hg (0.1829, 0.8171, 0.0300)
Hg (0.2194, 0.2806, 0.2500)
Hg (0.2806, 0.2194, 0.7500)
Hg (0.3171, 0.6829, 0.5300)
Hg (0.6829, 0.3171, 0.4700)
Hg (0.7194, 0.7806, 0.2500)
Hg (0.7806, 0.7194, 0.7500)
Hg (0.8171, 0.1829, 0.9700)
Pb (0.1100, 0.8900, 0.4636)
Pb (0.3900, 0.6100, 0.9636)
Pb (0.6100, 0.3900, 0.0364)
Pb (0.8900, 0.1100, 0.5364)

=====

12.
Material: LiHgBr2
Method: DFT, PBE
State: relaxed

Energy relative to the lowest polymorph listed for this composition = 0.072 eV/atom
Formation energy from raw total energies = -0.73 eV/atom
E = -2.118 eV per atom
N(E_F) = 0.892 states/eV per atom

Cell: 4.0537 4.0537 21.8175 Å, 90.00 90.00 120.00°
Atoms (fractional coordinates):
Li (0.0000, 0.0000, 0.0000)
Li (0.3333, 0.6667, 0.6667)
Li (0.6667, 0.3333, 0.3333)
Hg (0.0000, 0.0000, 0.8335)
Hg (0.3333, 0.6667, 0.5002)
Hg (0.6667, 0.3333, 0.1669)
Br (0.0000, 0.0000, 0.4025)
Br (0.0000, 0.0000, 0.6003)
Br (0.3333, 0.6667, 0.0692)
Br (0.3333, 0.6667, 0.2669)
Br (0.6667, 0.3333, 0.7359)
Br (0.6667, 0.3333, 0.9336)